[1]
VASP calculation (PBEsol) on a relaxed structure of In2CoAuF.

Output
V = 126 Å³/f.u.
calculated total energy = -18.24 eV/cell
magnetization = 2.3 μB/f.u.
crystal system = tetragonal
raw formation energy = 0.26 eV/atom

Structure (CIF):
```
data_In2CoAuF
_cell_length_a 5.165
_cell_length_b 5.165
_cell_length_c 4.731
_cell_angle_alpha 90.00
_cell_angle_beta 90.00
_cell_angle_gamma 90.00
_space_group_name_H-M_alt 'P 4/m m m'
_space_group_IT_number 123
_space_group_name_Hall '-P 4 2'
loop_
_atom_site_label
_atom_site_type_symbol
_atom_site_fract_x
_atom_site_fract_y
_atom_site_fract_z
In1 In 0.000 0.500 0.000
Co1 Co 0.000 0.000 0.500
Au1 Au 0.000 0.000 0.000
F1 F 0.500 0.500 0.500
```

***

[2]
VASP calculation (PBEsol) on a relaxed structure of Mn2V2O7.

Output
V = 133 Å³/f.u.
calculated total energy = -195.87 eV/cell
magnetization = 10.0 μB/f.u.
crystal system = monoclinic
raw formation energy = -2.04 eV/atom

Structure (CIF):
```
data_Mn2V2O7
_cell_length_a 6.238
_cell_length_b 8.643
_cell_length_c 5.014
_cell_angle_alpha 90.00
_cell_angle_beta 101.36
_cell_angle_gamma 90.00
_space_group_name_H-M_alt 'C 1 2 1'
_space_group_IT_number 5
loop_
_space_group_symop_operation_xyz
'x,y,z'
'-x,y,-z'
'x+1/2,y+1/2,z'
'-x+1/2,y+1/2,-z'
loop_
_atom_site_label
_atom_site_type_symbol
_atom_site_fract_x
_atom_site_fract_y
_atom_site_fract_z
Mn1 Mn 0.000 0.000 0.000
Mn2 Mn 0.000 0.372 0.000
V1 V 0.250 0.186 0.608
O1 O 0.000 0.686 0.500
O2 O 0.074 0.186 0.276
O3 O 0.226 0.518 0.199
O4 O 0.226 0.854 0.198
```

***

[3]
VASP calculation (PBEsol) on a relaxed structure of LiRuPb.

Output
energy of formation from the pure elements = 0.482 eV per atom
V = 55 Å³/f.u.
calculated total energy = -14.69 eV/cell
magnetization = 0.0 μB/f.u.
crystal system = trigonal

Structure (CIF):
```
data_LiRuPb
_cell_length_a 3.1109
_cell_length_b 3.1109
_cell_length_c 6.5924
_cell_angle_alpha 90.00
_cell_angle_beta 90.00
_cell_angle_gamma 120.00
_space_group_name_H-M_alt 'P 3 m 1'
_space_group_IT_number 156
loop_
_space_group_symop_operation_xyz
'x,y,z'
'-y,x-y,z'
'-x+y,-x,z'
'-y,-x,z'
'-x+y,y,z'
'x,x-y,z'
loop_
_atom_site_label
_atom_site_type_symbol
_atom_site_fract_x
_atom_site_fract_y
_atom_site_fract_z
Li1 Li 0.0000 0.0000 0.0000
Ru1 Ru 0.6667 0.3333 0.3012
Pb1 Pb 0.3333 0.6667 0.6172
```

***

[4]
VASP calculation (PBEsol) on a relaxed structure of YRh3C.

Output
energy of formation from the pure elements = -0.531 eV per atom
V = 70 Å³/f.u.
calculated total energy = -43.54 eV/cell
magnetization = 0.0 μB/f.u.
crystal system = cubic

Structure (CIF):
```
data_YRh3C
_cell_length_a 4.122
_cell_length_b 4.122
_cell_length_c 4.122
_cell_angle_alpha 90.00
_cell_angle_beta 90.00
_cell_angle_gamma 90.00
_space_group_name_H-M_alt 'P m -3 m'
_space_group_IT_number 221
_space_group_name_Hall '-P 4 2 3'
loop_
_atom_site_label
_atom_site_type_symbol
_atom_site_fract_x
_atom_site_fract_y
_atom_site_fract_z
Y1 Y 0.000 0.000 0.000
Rh1 Rh 0.000 0.500 0.500
C1 C 0.500 0.500 0.500
```

***

[5]
VASP calculation (PBEsol) on a relaxed structure of CrHgSe3.

Output
V = 135 Å³/f.u.
calculated total energy = -17.56 eV/cell
magnetization = 3.7 μB/f.u.
crystal system = cubic
raw formation energy = 0.96 eV/atom

Structure (CIF):
```
data_CrHgSe3
_cell_length_a 5.133
_cell_length_b 5.133
_cell_length_c 5.133
_cell_angle_alpha 90.00
_cell_angle_beta 90.00
_cell_angle_gamma 90.00
_space_group_name_H-M_alt 'P m -3 m'
_space_group_IT_number 221
_space_group_name_Hall '-P 4 2 3'
loop_
_atom_site_label
_atom_site_type_symbol
_atom_site_fract_x
_atom_site_fract_y
_atom_site_fract_z
Cr1 Cr 0.000 0.000 0.000
Hg1 Hg 0.500 0.500 0.500
Se1 Se 0.000 0.500 0.500
```

***

[6]
VASP calculation (PBEsol) on a relaxed structure of FePb3Br.

Output
V = 171 Å³/f.u.
calculated total energy = -17.07 eV/cell
magnetization = 3.2 μB/f.u.
crystal system = cubic
raw formation energy = 1.15 eV/atom

Structure (CIF):
```
data_FePb3Br
_cell_length_a 5.553
_cell_length_b 5.553
_cell_length_c 5.553
_cell_angle_alpha 90.00
_cell_angle_beta 90.00
_cell_angle_gamma 90.00
_space_group_name_H-M_alt 'P m -3 m'
_space_group_IT_number 221
_space_group_name_Hall '-P 4 2 3'
loop_
_atom_site_label
_atom_site_type_symbol
_atom_site_fract_x
_atom_site_fract_y
_atom_site_fract_z
Fe1 Fe 0.000 0.000 0.000
Pb1 Pb 0.000 0.500 0.500
Br1 Br 0.500 0.500 0.500
```

***

[7]
VASP calculation (PBEsol) on a relaxed structure of Ge3IrO.

Output
V = 103 Å³/f.u.
calculated total energy = -27.58 eV/cell
magnetization = 0.0 μB/f.u.
crystal system = cubic
raw formation energy = 0.46 eV/atom

Structure (CIF):
```
data_Ge3IrO
_cell_length_a 4.684
_cell_length_b 4.684
_cell_length_c 4.684
_cell_angle_alpha 90.00
_cell_angle_beta 90.00
_cell_angle_gamma 90.00
_space_group_name_H-M_alt 'P m -3 m'
_space_group_IT_number 221
_space_group_name_Hall '-P 4 2 3'
loop_
_atom_site_label
_atom_site_type_symbol
_atom_site_fract_x
_atom_site_fract_y
_atom_site_fract_z
Ge1 Ge 0.000 0.000 0.500
Ir1 Ir 0.000 0.000 0.000
O1 O 0.500 0.500 0.500
```

***

[8]
VASP calculation (PBEsol) on a relaxed structure of Rb5Tc3S7.

Output
V = 415 Å³/f.u.
calculated total energy = -335.68 eV/cell
magnetization = 0.0 μB/f.u.
crystal system = monoclinic
raw formation energy = -0.95 eV/atom

Structure (CIF):
```
data_Rb5Tc3S7
_cell_length_a 18.279
_cell_length_b 10.475
_cell_length_c 10.697
_cell_angle_alpha 90.00
_cell_angle_beta 125.81
_cell_angle_gamma 90.00
_space_group_name_H-M_alt 'C 1 m 1'
_space_group_IT_number 8
loop_
_space_group_symop_operation_xyz
'x,y,z'
'x,-y,z'
'x+1/2,y+1/2,z'
'x+1/2,-y+1/2,z'
loop_
_atom_site_label
_atom_site_type_symbol
_atom_site_fract_x
_atom_site_fract_y
_atom_site_fract_z
Rb1 Rb 0.000 0.000 0.000
Rb2 Rb 0.000 0.000 0.438
Rb3 Rb 0.046 0.307 0.764
Rb4 Rb 0.166 0.000 0.885
Rb5 Rb 0.184 0.000 0.403
Rb6 Rb 0.363 0.210 0.293
Rb7 Rb 0.363 0.210 0.870
Tc1 Tc 0.033 0.500 0.251
Tc2 Tc 0.157 0.375 0.254
Tc3 Tc 0.157 0.375 0.496
Tc4 Tc 0.281 0.500 0.500
S1 S 0.042 0.271 0.260
S2 S 0.043 0.500 0.037
S3 S 0.043 0.500 0.487
S4 S 0.153 0.202 0.103
S5 S 0.153 0.202 0.641
S6 S 0.270 0.500 0.264
S7 S 0.270 0.500 0.713
S8 S 0.273 0.274 0.492
S9 S 0.371 0.000 0.090
S10 S 0.445 0.500 0.664
```

***

[9]
VASP calculation (PBEsol) on a relaxed structure of V2FeGe.

Output
energy of formation from the pure elements = -0.369 eV per atom
V = 48 Å³/f.u.
calculated total energy = -138.58 eV/cell
magnetization = 0.0 μB/f.u.
crystal system = orthorhombic

Structure (CIF):
```
data_V2FeGe
_cell_length_a 4.550
_cell_length_b 6.508
_cell_length_c 6.514
_cell_angle_alpha 90.00
_cell_angle_beta 90.00
_cell_angle_gamma 90.00
_space_group_name_H-M_alt 'A m a 2'
_space_group_IT_number 40
loop_
_space_group_symop_operation_xyz
'x,y,z'
'-x,-y,z'
'-x+1/2,y,z'
'x+1/2,-y,z'
'x,y+1/2,z+1/2'
'-x,-y+1/2,z+1/2'
'-x+1/2,y+1/2,z+1/2'
'x+1/2,-y+1/2,z+1/2'
loop_
_atom_site_label
_atom_site_type_symbol
_atom_site_fract_x
_atom_site_fract_y
_atom_site_fract_z
V1 V 0.000 0.000 0.000
V2 V 0.250 0.116 0.627
Fe1 Fe 0.250 0.371 0.882
Ge1 Ge 0.250 0.242 0.256
```

***

[10]
VASP calculation (PBEsol) on a relaxed structure of Cs2IBrCl6.

Output
V = 338 Å³/f.u.
calculated total energy = -105.30 eV/cell
magnetization = 0.0 μB/f.u.
crystal system = cubic
raw formation energy = -0.88 eV/atom

Structure (CIF):
```
data_Cs2IBrCl6
_cell_length_a 11.053
_cell_length_b 11.053
_cell_length_c 11.053
_cell_angle_alpha 90.00
_cell_angle_beta 90.00
_cell_angle_gamma 90.00
_space_group_name_H-M_alt 'F m -3 m'
_space_group_IT_number 225
_space_group_name_Hall '-F 4 2 3'
loop_
_atom_site_label
_atom_site_type_symbol
_atom_site_fract_x
_atom_site_fract_y
_atom_site_fract_z
Cs1 Cs 0.250 0.250 0.250
I1 I 0.000 0.000 0.000
Br1 Br 0.000 0.000 0.500
Cl1 Cl 0.000 0.000 0.233
```

***

[11]
VASP calculation (PBEsol) on a relaxed structure of Hf2SiBr.

Output
V = 72 Å³/f.u.
calculated total energy = -120.12 eV/cell
magnetization = 0.0 μB/f.u.
crystal system = cubic
raw formation energy = -0.35 eV/atom

Structure (CIF):
```
data_Hf2SiBr
_cell_length_a 6.618
_cell_length_b 6.618
_cell_length_c 6.618
_cell_angle_alpha 90.00
_cell_angle_beta 90.00
_cell_angle_gamma 90.00
_space_group_name_H-M_alt 'F m -3 m'
_space_group_IT_number 225
_space_group_name_Hall '-F 4 2 3'
loop_
_atom_site_label
_atom_site_type_symbol
_atom_site_fract_x
_atom_site_fract_y
_atom_site_fract_z
Hf1 Hf 0.250 0.250 0.250
Si1 Si 0.000 0.000 0.000
Br1 Br 0.000 0.000 0.500
```